# 1
{
  "formula": "Cr2AgRu2",
  "functional": "PBE",
  "state": "relaxed",
  "dos_at_fermi_per_ev_cell": 10.50,
  "lattice_angstrom": [[7.269, 0.000, 0.000], [0.000, 7.269, 0.000], [0.000, 0.000, 2.708]],
  "species": ["Cr", "Cr", "Cr", "Cr", "Ru", "Ru", "Ru", "Ru", "Ag", "Ag"],
  "fractional_positions": [[0.657, 0.843, 0.500], [0.157, 0.657, 0.500], [0.343, 0.157, 0.500], [0.843, 0.343, 0.500], [0.135, 0.365, 0.000], [0.365, 0.865, 0.000], [0.865, 0.635, 0.000], [0.635, 0.135, 0.000], [0.000, 0.000, 0.000], [0.500, 0.500, 0.000]]
}

# 2
{
  "formula": "Cr2AgRu",
  "functional": "PBE",
  "state": "relaxed",
  "dos_at_fermi_per_ev_cell": 5.77,
  "lattice_angstrom": [[2.622, -0.001, 0.000], [-0.891, 2.466, 0.000], [0.000, 0.000, 8.689]],
  "species": ["Ru", "Cr", "Cr", "Ag"],
  "fractional_positions": [[0.500, 0.500, 0.250], [0.000, 0.000, 0.480], [0.000, 0.000, 0.020], [0.500, 0.500, 0.750]]
}

# 3
{
  "formula": "Cr2AgRu",
  "functional": "PBE",
  "state": "relaxed",
  "dos_at_fermi_per_ev_cell": 5.08,
  "lattice_angstrom": [[4.680, 0.001, 0.005], [3.857, 2.651, 0.005], [0.845, 0.262, 4.651]],
  "species": ["Ag", "Cr", "Cr", "Ru"],
  "fractional_positions": [[0.250, 0.250, 0.250], [0.494, 0.494, 0.568], [0.006, 0.006, 0.932], [0.750, 0.750, 0.750]]
}

# 4
{
  "formula": "Cr2AgRu",
  "functional": "PBE",
  "state": "relaxed",
  "dos_at_fermi_per_ev_cell": 4.01,
  "lattice_angstrom": [[9.178, 0.013, 0.007], [8.786, 2.655, 0.007], [8.786, 1.305, 2.312]],
  "species": ["Cr", "Cr", "Ag", "Ru"],
  "fractional_positions": [[0.249, 0.249, 0.249], [0.993, 0.993, 0.993], [0.748, 0.748, 0.748], [0.509, 0.509, 0.509]]
}

# 5
{
  "formula": "Cr2AgRu",
  "functional": "PBE",
  "state": "relaxed",
  "dos_at_fermi_per_ev_cell": 4.14,
  "lattice_angstrom": [[-0.132, 1.494, 2.308], [-3.256, -1.596, 0.846], [2.669, -3.994, 2.739]],
  "species": ["Ru", "Cr", "Cr", "Ag"],
  "fractional_positions": [[0.500, 0.500, 0.250], [0.000, 0.000, 0.050], [0.000, 0.000, 0.450], [0.500, 0.500, 0.750]]
}

# 6
{
  "formula": "CrAg3Ru",
  "functional": "PBE",
  "state": "relaxed",
  "dos_at_fermi_per_ev_cell": 7.44,
  "lattice_angstrom": [[4.991, 0.000, 0.000], [0.000, 4.991, 0.000], [0.000, 0.000, 4.991]],
  "species": ["Ag", "Ag", "Ag", "Cr", "Ru"],
  "fractional_positions": [[0.000, 0.000, 0.500], [0.500, 0.000, 0.000], [0.000, 0.500, 0.000], [0.500, 0.500, 0.500], [0.000, 0.000, 0.000]]
}

| no. | raw total energy (eV per atom) | energy relative to the elements (eV per atom) | total magnetic moment (μB/cell) |
| --- | --- | --- | --- |
| 1 | -7.833 | 0.297 | 0.0 |
| 2 | -7.312 | 0.531 | 0.0 |
| 3 | -7.352 | 0.492 | 0.0 |
| 4 | -7.446 | 0.397 | 0.0 |
| 5 | -7.455 | 0.389 | 0.0 |
| 6 | -3.942 | 1.548 | 4.9 |